Arrangement i

Here is a relaxed structure of Sn2Br2O from Alexandria via LeMat-Bulk. Energies are from PBE.

Output
Size of the total moment = 0.0 μB/f.u.

```
Sn2Br2O
1.0
4.5237 0.0000 0.0000
0.0000 4.5237 0.0000
0.0000 0.0000 13.7258
Sn Br O
4 4 2
Cartesian
0.0000 0.0000 1.5051
0.0000 0.0000 12.2207
2.2618 2.2618 5.3578
2.2618 2.2618 8.3680
0.0000 2.2618 3.4314
0.0000 2.2618 10.2943
2.2618 0.0000 3.4314
2.2618 0.0000 10.2943
0.0000 0.0000 6.8629
2.2618 2.2618 0.0000
```

Arrangement ii

Here is a relaxed structure of Sn2Br2O from Alexandria via LeMat-Bulk. Energies are from PBE.

Output
Size of the total moment = 0.0 μB/f.u.

```
Sn2Br2O
1.0
6.8227 0.0000 0.0000
0.0000 6.8227 0.0000
0.0000 0.0000 5.0353
Sn Br O
4 4 2
Cartesian
1.2765 2.1348 0.0000
2.1348 5.5462 0.0000
4.6879 1.2765 0.0000
5.5462 4.6879 0.0000
1.1781 4.5895 2.5176
2.2332 1.1781 2.5176
4.5895 5.6445 2.5176
5.6445 2.2332 2.5176
0.0000 0.0000 0.0000
3.4113 3.4113 0.0000
```

So which one is most stable? That would be arrangement ii, about 709 meV per atom below the next structure.

Arrangement i

Here is a relaxed structure of Sn2Br2O from Alexandria via LeMat-Bulk. Energies are from PBE.

Output
Size of the total moment = 0.0 μB/f.u.

```
Sn2Br2O
1.0
1.9500 -9.3711 0.0000
1.9500 9.3711 0.0000
0.0000 0.0000 8.3015
Sn Br O
4 4 2
Cartesian
1.9500 7.9620 4.1507
1.9500 2.8246 2.8055
1.9500 -2.8246 6.9562
1.9500 -7.9620 0.0000
1.9500 3.7520 8.1524
1.9500 0.7079 5.0233
1.9500 -0.7079 0.8725
1.9500 -3.7520 4.0016
1.9500 7.3666 6.1771
1.9500 -7.3666 2.0263
```

Arrangement ii

Here is a relaxed structure of Sn2Br2O from Alexandria via LeMat-Bulk. Energies are from PBE.

Output
Size of the total moment = 0.0 μB/f.u.

```
Sn2Br2O
1.0
6.3780 -3.0690 0.0000
6.3780 3.0690 0.0000
-5.3191 0.0000 7.7177
Sn Br O
4 4 2
Cartesian
-1.2202 0.0000 2.9443
-0.7767 0.0000 6.7310
8.2137 0.0000 0.9867
8.6572 0.0000 4.7734
1.9823 0.0000 0.5794
1.7010 0.0000 4.8950
5.7360 0.0000 2.8227
5.4546 0.0000 7.1383
-1.9280 0.0000 4.9896
9.3649 0.0000 2.7281
```

So which one is most stable? That would be arrangement ii, about 77 meV per atom below the next structure.

Arrangement i

Here is a relaxed structure of SnBrO2 from Alexandria via LeMat-Bulk. Energies are from PBE.

Output
Size of the total moment = 0.0 μB/f.u.

```
SnBrO2
1.0
3.1673 0.0000 0.0000
-1.5837 2.7430 0.0000
0.0000 0.0000 26.2490
Sn Br O
3 3 6
Cartesian
0.0000 0.0000 0.0000
0.0000 1.8287 17.4994
1.5837 0.9143 8.7497
0.0000 0.0000 13.1245
0.0000 1.8287 4.3748
1.5837 0.9143 21.8742
0.0000 0.0000 9.7852
0.0000 0.0000 16.4638
0.0000 1.8287 1.0355
0.0000 1.8287 7.7141
1.5837 0.9143 18.5349
1.5837 0.9143 25.2135
```

Arrangement ii

Here is a relaxed structure of SnBrO2 from Alexandria via LeMat-Bulk. Energies are from PBE.

Output
Size of the total moment = 0.0 μB/f.u.

```
SnBrO2
1.0
3.2409 0.0000 0.0000
-1.6204 2.8067 0.0000
0.0000 0.0000 21.9731
Sn Br O
3 3 6
Cartesian
0.0000 0.0000 0.0000
0.0000 1.8711 14.6488
1.6204 0.9356 7.3244
0.0000 0.0000 10.9866
0.0000 1.8711 3.6622
1.6204 0.9356 18.3109
0.0000 0.0000 2.0118
0.0000 0.0000 19.9614
0.0000 1.8711 12.6370
0.0000 1.8711 16.6605
1.6204 0.9356 5.3126
1.6204 0.9356 9.3362
```

Arrangement iii

Here is a relaxed structure of SnBrO2 from Alexandria via LeMat-Bulk. Energies are from PBE.

Output
Size of the total moment = 1.0 μB/f.u.

```
SnBrO2
1.0
6.1544 0.0000 0.0000
0.0000 6.1544 0.0000
0.0000 0.0000 6.1544
Sn Br O
4 4 8
Cartesian
0.0000 0.0000 0.0000
0.0000 3.0772 3.0772
3.0772 0.0000 3.0772
3.0772 3.0772 0.0000
0.0000 0.0000 3.0772
0.0000 3.0772 0.0000
3.0772 0.0000 0.0000
3.0772 3.0772 3.0772
1.5386 1.5386 1.5386
1.5386 1.5386 4.6158
1.5386 4.6158 1.5386
1.5386 4.6158 4.6158
4.6158 1.5386 1.5386
4.6158 1.5386 4.6158
4.6158 4.6158 1.5386
4.6158 4.6158 4.6158
```

So which one is most stable? That would be arrangement i, about 1276 meV per atom below the next structure.

Arrangement i

Here is a relaxed structure of Sn2BrO from Alexandria via LeMat-Bulk. Energies are from PBE.

Output
Size of the total moment = 0.0 μB/f.u.

```
Sn2BrO
1.0
5.6592 0.0000 0.0000
0.0000 5.6592 0.0000
0.0000 0.0000 14.3015
Sn Br O
8 4 4
Cartesian
0.5860 1.4148 1.7877
1.4148 3.4156 5.3631
1.4148 5.0731 12.5138
2.2435 1.4148 8.9385
3.4156 4.2444 8.9385
4.2444 0.5860 12.5138
4.2444 2.2435 5.3631
5.0731 4.2444 1.7877
0.0000 0.0000 7.1508
0.0000 2.8296 10.7261
2.8296 0.0000 3.5754
2.8296 2.8296 0.0000
0.0000 0.0000 0.0000
0.0000 2.8296 3.5754
2.8296 0.0000 10.7261
2.8296 2.8296 7.1508
```

Arrangement ii

Here is a relaxed structure of Sn2BrO from Alexandria via LeMat-Bulk. Energies are from PBE.

Output
Size of the total moment = 0.0 μB/f.u.

```
Sn2BrO
1.0
7.0432 0.0000 0.0000
0.0000 7.0432 0.0000
0.0000 0.0000 7.0432
Sn Br O
8 4 4
Cartesian
1.7608 1.7608 1.7608
1.7608 1.7608 5.2824
1.7608 5.2824 1.7608
1.7608 5.2824 5.2824
5.2824 1.7608 1.7608
5.2824 1.7608 5.2824
5.2824 5.2824 1.7608
5.2824 5.2824 5.2824
0.0000 0.0000 0.0000
0.0000 3.5216 3.5216
3.5216 0.0000 3.5216
3.5216 3.5216 0.0000
0.0000 0.0000 3.5216
0.0000 3.5216 0.0000
3.5216 0.0000 0.0000
3.5216 3.5216 3.5216
```

So which one is most stable? That would be arrangement i, about 486 meV per atom below the next structure.

Arrangement i

Here is a relaxed structure of SnBr3O from Alexandria via LeMat-Bulk. Energies are from PBE.

Output
Size of the total moment = 0.0 μB/f.u.

```
SnBr3O
1.0
4.8750 0.0000 0.0000
0.0000 4.8750 0.0000
0.0000 0.0000 4.8750
Sn Br O
1 3 1
Cartesian
0.0000 0.0000 0.0000
0.0000 2.4375 2.4375
2.4375 0.0000 2.4375
2.4375 2.4375 0.0000
2.4375 2.4375 2.4375
```

Arrangement ii

Here is a relaxed structure of SnBr3O from Alexandria via LeMat-Bulk. Energies are from PBE.

Output
Size of the total moment = 0.0 μB/f.u.

```
SnBr3O
1.0
5.4611 0.0000 0.0000
0.0000 5.4611 0.0000
0.0000 0.0000 5.4611
Sn Br O
1 3 1
Cartesian
0.0000 0.0000 0.0000
0.0000 0.0000 2.7305
0.0000 2.7305 0.0000
2.7305 0.0000 0.0000
2.7305 2.7305 2.7305
```

So which one is most stable? That would be arrangement i, about 284 meV per atom below the next structure.

Arrangement i

Here is a relaxed structure of Sr3Br2O2 from Alexandria via LeMat-Bulk. Energies are from PBE.

Output
Size of the total moment = 0.0 μB/f.u.

```
Sr3Br2O2
1.0
8.7032 -2.1108 0.0000
8.7032 2.1108 0.0000
-1.0828 0.0000 10.6038
Sr Br O
6 4 4
Cartesian
0.4818 0.0000 2.6041
2.6041 0.0000 7.2594
6.9852 0.0000 0.6404
9.3383 0.0000 9.9633
13.7194 0.0000 3.3444
15.8417 0.0000 7.9997
3.6520 0.0000 1.6150
5.7137 0.0000 5.5665
10.6098 0.0000 5.0372
12.6715 0.0000 8.9888
0.7906 0.0000 8.5775
7.0672 0.0000 9.1238
9.2563 0.0000 1.4800
15.5329 0.0000 2.0263
```

Arrangement ii

Here is a relaxed structure of Sr3Br2O2 from Alexandria via LeMat-Bulk. Energies are from PBE.

Output
Size of the total moment = 0.0 μB/f.u.

```
Sr3Br2O2
1.0
14.3202 0.0000 0.0000
0.0000 4.1407 0.0000
-3.8502 0.0000 6.3936
Sr Br O
6 4 4
Cartesian
0.0000 0.0000 0.0000
0.1817 0.0000 5.0094
3.1282 2.0704 1.3841
7.1601 2.0704 0.0000
7.3418 2.0704 5.0094
10.2882 0.0000 1.3841
-0.1332 2.0704 2.3634
3.4430 0.0000 4.0301
7.0269 0.0000 2.3634
10.6031 2.0704 4.0301
2.3731 0.0000 0.3429
0.9367 2.0704 6.0507
9.5332 2.0704 0.3429
8.0968 0.0000 6.0507
```

So which one is most stable? That would be arrangement ii, about 23 meV per atom below the next structure.

Arrangement i

Here is a relaxed structure of Sr4Br6O from Alexandria via LeMat-Bulk. Energies are from PBE.

Output
Size of the total moment = 0.0 μB/f.u.

```
Sr4Br6O
1.0
9.7515 0.0000 0.0000
0.0000 9.7515 0.0000
0.0000 0.0000 7.3248
Sr Br O
8 12 2
Cartesian
0.1919 7.3136 0.6949
2.4379 5.0676 2.9675
2.4379 9.5597 2.9675
4.6839 7.3136 0.6949
5.0676 2.4379 6.6299
7.3136 0.1919 4.3573
7.3136 4.6839 4.3573
9.5597 2.4379 6.6299
0.4492 5.3249 5.4936
0.4492 9.3023 5.4936
2.4379 2.4379 0.9156
2.4379 2.4379 4.5780
4.4266 5.3249 5.4936
4.4266 9.3023 5.4936
5.3249 0.4492 1.8312
5.3249 4.4266 1.8312
7.3136 7.3136 2.7468
7.3136 7.3136 6.4092
9.3023 0.4492 1.8312
9.3023 4.4266 1.8312
2.4379 7.3136 1.8312
7.3136 2.4379 5.4936
```

Arrangement ii

Here is a relaxed structure of Sr4Br6O from Alexandria via LeMat-Bulk. Energies are from PBE.

Output
Size of the total moment = 0.1 μB/f.u.

```
Sr4Br6O
1.0
9.9914 0.0000 0.0000
-4.9957 8.6528 0.0000
0.0000 0.0000 7.6749
Sr Br O
8 12 2
Cartesian
0.0000 3.4796 0.0000
-1.9823 6.9130 0.0000
0.0000 5.7685 4.5098
3.0134 1.7398 3.8374
1.9823 6.9130 0.0000
4.9957 2.8843 0.6724
6.9780 1.7398 3.8374
4.9957 5.1732 3.8374
-1.9738 4.6290 2.2680
0.0000 2.4116 4.7366
-2.9072 7.4470 4.7366
2.0885 1.2058 0.8991
1.9738 4.6290 2.2680
0.0000 8.0477 2.2680
4.9957 0.6051 6.1054
3.0219 4.0239 6.1054
2.9072 7.4470 4.7366
7.9029 1.2058 0.8991
4.9957 6.2412 0.8991
6.9695 4.0239 6.1054
0.0000 5.7685 6.9070
4.9957 2.8843 3.0696
```

So which one is most stable? That would be arrangement ii, about 83 meV per atom below the next structure.

Arrangement i

Here is a relaxed structure of SrBrO5 from Alexandria via LeMat-Bulk. Energies are from PBE.

Output
Size of the total moment = 1.0 μB/f.u.

```
SrBrO5
1.0
4.3105 0.0000 0.0000
-0.4559 8.1180 0.0000
-1.9252 -3.9395 7.1889
Sr Br O
2 2 10
Cartesian
-0.0955 0.8284 2.4448
2.0249 3.3502 4.7441
0.2552 4.6423 2.4215
1.6742 -0.4638 4.7675
-0.1561 3.1227 3.4794
-0.7973 2.0448 6.5985
-0.2367 -2.9097 5.8777
0.8917 6.8846 1.3330
1.4876 1.8839 0.4819
0.4418 2.2946 6.7070
1.0377 -2.7060 5.8560
2.1661 7.0882 1.3112
2.7267 2.1337 0.5905
2.0855 1.0559 3.7096
```

Arrangement ii

Here is a relaxed structure of SrBrO5 from Alexandria via LeMat-Bulk. Energies are from PBE.

Output
Size of the total moment = 4.0 μB/f.u.

```
SrBrO5
1.0
5.9222 0.0000 0.0000
-2.8531 6.6089 0.0000
-0.2065 -3.6628 7.5934
Sr Br O
2 2 10
Cartesian
-0.0620 0.2216 2.5145
2.9246 2.7246 5.0789
-0.0372 1.8080 5.2161
2.8998 1.1382 2.3773
-0.0509 -2.4179 7.3377
0.5704 -1.7847 3.9020
0.2679 -1.2590 6.9025
-0.2257 3.1707 2.2021
-0.2830 4.1360 1.4265
3.1456 -1.1899 6.1669
3.0883 -0.2245 5.3914
2.5946 4.2052 0.6909
2.2922 4.7308 3.6914
2.9135 5.3641 0.2557
```

So which one is most stable? That would be arrangement i, about 11 meV per atom below the next structure.

Arrangement i

Here is a relaxed structure of Sr2BrO2 from Alexandria via LeMat-Bulk. Energies are from PBE.

Output
Size of the total moment = 1.0 μB/f.u.

```
Sr2BrO2
1.0
7.0478 0.0000 0.0000
0.0000 4.2519 0.0000
-0.7860 0.0000 7.6000
Sr Br O
4 2 4
Cartesian
1.1051 0.0000 2.2901
1.6328 2.1260 5.3099
4.6290 2.1260 2.2901
5.1567 0.0000 5.3099
0.0000 2.1260 0.0000
3.5239 0.0000 0.0000
0.4843 0.0000 4.6977
2.2536 2.1260 2.9023
4.0081 2.1260 4.6977
5.7775 0.0000 2.9023
```

Arrangement ii

Here is a relaxed structure of Sr2BrO2 from Alexandria via LeMat-Bulk. Energies are from PBE.

Output
Size of the total moment = 1.0 μB/f.u.

```
Sr2BrO2
1.0
7.8147 0.0000 0.0000
0.0000 7.8147 0.0000
0.0000 0.0000 3.5050
Sr Br O
4 2 4
Cartesian
1.1185 2.7888 0.0000
2.7888 6.6962 0.0000
5.0259 1.1185 0.0000
6.6962 5.0259 0.0000
0.0000 0.0000 0.0000
3.9073 3.9073 0.0000
0.7877 4.6951 1.7525
3.1196 0.7877 1.7525
4.6951 7.0270 1.7525
7.0270 3.1196 1.7525
```

So which one is most stable? That would be arrangement i, about 306 meV per atom below the next structure.

Arrangement i

Here is a relaxed structure of SrBr2O from Alexandria via LeMat-Bulk. Energies are from PBE.

Output
Size of the total moment = 2.0 μB/f.u.

```
SrBr2O
1.0
5.3121 0.0000 0.0000
0.0000 5.3121 0.0000
0.0000 0.0000 17.8781
Sr Br O
4 8 4
Cartesian
0.0000 0.0000 0.0000
0.0000 2.6561 4.4695
2.6561 0.0000 13.4085
2.6561 2.6561 8.9390
1.1950 1.3280 11.1738
1.3280 3.8510 15.6433
1.3280 4.1172 6.7043
1.4611 1.3280 2.2348
3.8510 3.9841 2.2348
3.9841 1.1950 6.7043
3.9841 1.4611 15.6433
4.1172 3.9841 11.1738
0.0000 0.0000 8.9390
0.0000 2.6561 13.4085
2.6561 0.0000 4.4695
2.6561 2.6561 0.0000
```

Arrangement ii

Here is a relaxed structure of SrBr2O from Alexandria via LeMat-Bulk. Energies are from PBE.

Output
Size of the total moment = 2.0 μB/f.u.

```
SrBr2O
1.0
7.4214 0.0000 0.0000
0.0000 7.4214 0.0000
0.0000 0.0000 7.4214
Sr Br O
4 8 4
Cartesian
0.0000 0.0000 0.0000
0.0000 3.7107 3.7107
3.7107 0.0000 3.7107
3.7107 3.7107 0.0000
1.8554 1.8554 1.8554
1.8554 1.8554 5.5661
1.8554 5.5661 1.8554
1.8554 5.5661 5.5661
5.5661 1.8554 1.8554
5.5661 1.8554 5.5661
5.5661 5.5661 1.8554
5.5661 5.5661 5.5661
0.0000 0.0000 3.7107
0.0000 3.7107 0.0000
3.7107 0.0000 0.0000
3.7107 3.7107 3.7107
```

So which one is most stable? That would be arrangement ii, about 100 meV per atom below the next structure.

Arrangement i

Here is a relaxed structure of SrBr2O2 from Alexandria via LeMat-Bulk. Energies are from PBE.

Output
Size of the total moment = 2.0 μB/f.u.

```
SrBr2O2
1.0
7.9762 0.0000 0.0000
0.0000 4.6044 0.0000
-0.9597 0.0000 9.6534
Sr Br O
2 4 4
Cartesian
0.0000 0.0000 0.0000
3.9881 2.3022 0.0000
0.3708 2.3022 8.0904
2.6576 0.0000 1.5630
4.3589 0.0000 8.0904
6.6457 2.3022 1.5630
0.0203 0.0000 4.4663
3.0081 2.3022 5.1871
4.0084 2.3022 4.4663
6.9962 0.0000 5.1871
```

Arrangement ii

Here is a relaxed structure of SrBr2O2 from Alexandria via LeMat-Bulk. Energies are from PBE.

Output
Size of the total moment = 0.0 μB/f.u.

```
SrBr2O2
1.0
7.2206 0.0000 0.0000
0.0000 7.2206 0.0000
0.0000 0.0000 4.1370
Sr Br O
2 4 4
Cartesian
0.0000 0.0000 0.0000
3.6103 3.6103 0.0000
1.3027 2.3076 2.0685
2.3076 5.9179 2.0685
4.9130 1.3027 2.0685
5.9179 4.9130 2.0685
1.6777 1.9326 0.0000
1.9326 5.5428 0.0000
5.2880 1.6777 0.0000
5.5428 5.2880 0.0000
```

So which one is most stable? That would be arrangement i, about 298 meV per atom below the next structure.